Dy2PaSn: relaxed, PBE.

Lattice parameters (Å, degrees): 5.3329 5.3329 5.3329 60.00 60.00 60.00
With the nearest neighbours (Å) after each atom.
Atoms (fractional coordinates):
Pa: 0.0000 0.0000 0.0000  8 Dy 3.27
Dy: 0.2500 0.2500 0.2500  4 Sn 3.27, 4 Pa 3.27
Dy: 0.7500 0.7500 0.7500  4 Pa 3.27, 4 Sn 3.27
Sn: 0.5000 0.5000 0.5000  8 Dy 3.27

Calculated values
Its space group is No. 225. The calculation puts the total magnetization at 1.4 μB per cell. The formation energy is 0.017 eV per atom.

La2TcSb: relaxed, PBE.

Lattice parameters (Å, degrees): 5.5303 5.5303 5.5303 127.08 127.08 78.11
With the nearest neighbours (Å) after each atom.
Atoms (fractional coordinates):
La: 0.0000 0.0000 0.0000  4 Tc 3.27, 4 Sb 3.27, 4 La 3.48
La: 0.5000 0.5000 0.0000  4 Sb 3.27, 4 Tc 3.27, 4 La 3.48
Sb: 0.2500 0.7500 0.5000  8 La 3.27, 4 Tc 3.48
Tc: 0.7500 0.2500 0.5000  8 La 3.27, 4 Sb 3.48

Calculated values
Its space group is No. 139. The calculation puts the total magnetization at 0.0 μB per cell. The formation energy without anion corrections is -19.2 kJ per mole of atoms.

Cs2LiAs: relaxed, PBE.

Lattice parameters (Å, degrees): 5.2274 5.2274 12.4981 77.93 77.93 90.00
With the nearest neighbours (Å) after each atom.
Atoms (fractional coordinates):
Li: 0.5000 0.5000 0.0000  4 Cs 3.51, 4 As 3.70
Li: 0.2500 0.7500 0.5000  4 Cs 3.51, 4 As 3.70
As: 0.7500 0.2500 0.5000  4 Cs 3.52, 4 Li 3.70
As: 0.0000 0.0000 0.0000  4 Cs 3.52, 4 Li 3.70
Cs: 0.3750 0.3775 0.7500  2 Li 3.51, 2 As 3.52, 4 Cs 3.68-3.71
Cs: 0.6225 0.1250 0.2500  2 Li 3.51, 2 As 3.52, 4 Cs 3.68-3.71
Cs: 0.8750 0.8725 0.7500  2 Li 3.51, 2 As 3.52, 4 Cs 3.68-3.71
Cs: 0.1275 0.6250 0.2500  2 Li 3.51, 2 As 3.52, 4 Cs 3.68-3.71

Calculated values
Its space group is No. 122. The calculation puts the total magnetization at 0.0 μB per cell. The formation energy is 0.182 eV per atom.

Tl2Cr: relaxed, PBE.

Lattice parameters (Å, degrees): 6.6562 6.6562 6.6562 149.95 149.95 43.01
With the nearest neighbours (Å) after each atom.
Atoms (fractional coordinates):
Tl: 0.6515 0.6515 0.0000  4 Cr 3.08
Tl: 0.3485 0.3485 0.0000  4 Cr 3.08
Cr: 0.0000 0.0000 0.0000  8 Tl 3.08

Calculated values
Its space group is No. 139. The calculation puts the total magnetization at 4.4 μB per cell. The formation energy is 0.515 eV per atom.

LiTmSb2Pd4: relaxed, PBE.

Lattice parameters (Å, degrees): 4.6413 4.6413 8.1420 73.44 73.44 60.00
With the nearest neighbours (Å) after each atom.
Atoms (fractional coordinates):
Tm: 0.0000 0.0000 0.0000  8 Pd 2.91
Sb: 0.7539 0.7539 0.7382  7 Pd 2.77-2.82
Sb: 0.2461 0.2461 0.2618  7 Pd 2.77-2.82
Pd: 0.8740 0.8740 0.3779  4 Sb 2.77-2.82, 3 Li 2.84, 1 Tm 2.91
Pd: 0.1260 0.1260 0.6221  4 Sb 2.77-2.82, 3 Li 2.84, 1 Tm 2.91
Pd: 0.3820 0.3820 0.8539  1 Li 2.72, 3 Sb 2.82, 3 Tm 2.91
Pd: 0.6180 0.6180 0.1461  1 Li 2.72, 3 Sb 2.82, 3 Tm 2.91
Li: 0.5000 0.5000 0.5000  8 Pd 2.72-2.84

Calculated values
Its space group is No. 166. The calculation puts the total magnetization at 0.0 μB per cell. The formation energy without anion corrections is -69.2 kJ per mole of atoms.

Tb2PmC2: relaxed, PBE.

Lattice parameters (Å, degrees): 3.6397 3.6397 8.1555 102.89 102.89 90.00
With the nearest neighbours (Å) after each atom.
Atoms (fractional coordinates):
C: 0.1621 0.1621 0.3242  1 Pm 2.51, 5 Tb 2.57-2.58
C: 0.8379 0.8379 0.6758  1 Pm 2.51, 5 Tb 2.57-2.58
Tb: 0.3280 0.3280 0.6561  5 C 2.57-2.58
Tb: 0.6720 0.6720 0.3439  5 C 2.57-2.58
Pm: 0.0000 0.0000 0.0000  2 C 2.51

Calculated values
Its space group is No. 139. The calculation puts the total magnetization at 0.0 μB per cell. The formation energy is -0.069 eV per atom.

Table of electronic total energy (eV/cell), in record order: -22.6 -25.1 -15.1 -12.8 -41.1 -32.8